The following is a DFT calculation (GGA-PBE) of a relaxed structure of CeHf2Co9.

abc: 8.4336 8.4336 8.4336
angles: 33.54 33.54 33.54
Last column: nearest neighbours and their distance in Å.
Fractional coordinates of all 12 atoms:
Ce (0.0000, 0.0000, 0.0000)  6 Co 2.81
Hf (0.1404, 0.1404, 0.1404)  12 Co 2.76-2.91, 3 Hf 3.08
Hf (0.8596, 0.8596, 0.8596)  12 Co 2.76-2.91, 3 Hf 3.08
Co (0.0789, 0.5888, 0.5888)  7 Co 2.38-2.51
Co (0.3357, 0.3357, 0.3357)  6 Co 2.45-2.51
Co (0.4112, 0.4112, 0.9211)  7 Co 2.38-2.51
Co (0.4112, 0.9211, 0.4112)  7 Co 2.38-2.51
Co (0.5000, 0.5000, 0.5000)  6 Co 2.41
Co (0.5888, 0.0789, 0.5888)  7 Co 2.38-2.51
Co (0.5888, 0.5888, 0.0789)  7 Co 2.38-2.51
Co (0.6643, 0.6643, 0.6643)  6 Co 2.45-2.51
Co (0.9211, 0.4112, 0.4112)  7 Co 2.38-2.51

Its total DFT energy (no corrections) is -7.75 eV per atom. Its formation energy is -0.27 eV per atom.



The following is a DFT calculation (GGA-PBE) of a relaxed structure of CeHfCo4.

abc: 4.9314 4.9314 4.9314
angles: 60.00 60.00 60.00
Last column: nearest neighbours and their distance in Å.
Fractional coordinates of all 6 atoms:
Ce (0.0000, 0.0000, 0.0000)  12 Co 2.89, 4 Hf 3.02
Hf (0.2500, 0.2500, 0.2500)  12 Co 2.89, 4 Ce 3.02
Co (0.1275, 0.6242, 0.6242)  6 Co 2.45-2.48
Co (0.6242, 0.1275, 0.6242)  6 Co 2.45-2.48
Co (0.6242, 0.6242, 0.1275)  6 Co 2.45-2.48
Co (0.6242, 0.6242, 0.6242)  6 Co 2.45-2.48

Its total DFT energy (no corrections) is -7.61 eV per atom. Its formation energy is -0.22 eV per atom.